No. 1
The following is a GGA-PBE calculation of a relaxed TlNi2Pb crystal, from Alexandria via LeMat-Bulk.

Cell and atoms, written as POSCAR:
```
TlNi2Pb
1.0
6.0258 -1.6120 0.0000
6.0258 1.6120 0.0000
-1.4465 0.0000 3.9343
Tl Ni Pb
1 2 1
direct
0.0000 0.0000 0.0000 Tl
0.5049 0.5049 0.5048 Ni
0.8311 0.8311 0.3305 Ni
0.2318 0.2318 0.7309 Pb
```

Calculated values
* DFT total energy: -4.116 eV per atom
* ρ: 11.5 g/cm³
* space-group type: No. 8
* total moment: 0.000 μB per cell
* calculated formation energy: 1.17 eV/f.u.

=====

No. 2
The following is a GGA-PBE calculation of a relaxed ScMnBIr2 crystal, from Alexandria via LeMat-Bulk.

Cell and atoms, written as POSCAR:
```
ScMnBIr2
1.0
4.1042 0.0000 0.0000
0.0000 4.1042 0.0000
0.0000 0.0000 4.0198
Sc Mn B Ir
1 1 1 2
direct
0.0000 0.0000 0.0000 Sc
0.5000 0.5000 0.0000 Mn
0.5000 0.5000 0.5000 B
0.0000 0.5000 0.5000 Ir
0.5000 0.0000 0.5000 Ir
```

Calculated values
* DFT total energy: -8.503 eV per atom
* ρ: 12.1 g/cm³
* space-group type: No. 123
* total moment: 2.729 μB per cell
* calculated formation energy: -2.61 eV/f.u.

=====

No. 3
The following is a GGA-PBE calculation of a relaxed HfOsIO2 crystal, from Alexandria via LeMat-Bulk.

Cell and atoms, written as POSCAR:
```
HfOsIO2
1.0
3.8264 0.0000 0.0000
0.0000 3.8264 0.0000
0.0000 0.0000 7.8695
Hf Os I O
1 1 1 2
direct
0.0000 0.0000 0.0000 Hf
0.5000 0.5000 0.5000 Os
0.5000 0.5000 0.0000 I
0.0000 0.5000 0.5000 O
0.5000 0.0000 0.5000 O
```

Calculated values
* E_form (uncorrected): 0.15 eV per atom
* DFT total energy: -6.376 eV per atom
* ρ: 7.6 g/cm³
* E above lowest polymorph: 737 meV/atom
* space-group type: No. 123
* total moment: 1.078 μB per cell

=====

No. 4
The following is a GGA-PBE calculation of a relaxed SrTl2Pb crystal, from Alexandria via LeMat-Bulk.

Cell and atoms, written as POSCAR:
```
SrTl2Pb
1.0
4.0339 0.0000 0.0000
0.0000 4.3830 0.0000
0.0000 0.0000 7.3203
Sr Tl Pb
1 2 1
direct
0.0000 0.0000 0.0000 Sr
0.5000 0.5000 0.2753 Tl
0.5000 0.5000 0.7247 Tl
0.0000 0.0000 0.5000 Pb
```

Calculated values
* DFT total energy: -2.754 eV per atom
* ρ: 9.0 g/cm³
* space-group type: No. 47
* total moment: 0.000 μB per cell
* calculated formation energy: -0.89 eV/f.u.

=====

No. 5
The following is a GGA-PBE calculation of a relaxed Mn2OsCl crystal, from Alexandria via LeMat-Bulk.

Cell and atoms, written as POSCAR:
```
Mn2OsCl
1.0
-2.6899 2.6899 4.8387
2.6899 -2.6899 4.8387
2.6899 2.6899 -4.8387
Mn Os Cl
4 2 2
direct
0.1173 0.6250 0.9923 Mn
0.3750 0.3673 0.4923 Mn
0.6327 0.1250 0.0077 Mn
0.8750 0.8827 0.5077 Mn
0.2500 0.7500 0.5000 Os
0.5000 0.5000 0.0000 Os
0.0000 0.0000 0.0000 Cl
0.7500 0.2500 0.5000 Cl
```

Calculated values
* E_form (uncorrected): 0.86 eV per atom
* DFT total energy: -6.993 eV per atom
* ρ: 8.0 g/cm³
* E above lowest polymorph: 779 meV/atom
* space-group type: No. 122
* total moment: 3.302 μB per cell

=====

No. 6
The following is a GGA-PBE calculation of a relaxed AgGe2BiTe crystal, from Alexandria via LeMat-Bulk.

Cell and atoms, written as POSCAR:
```
AgGe2BiTe
1.0
5.6051 0.0000 0.0000
0.0000 5.6051 0.0000
0.0000 0.0000 5.2485
Ag Ge Bi Te
1 2 1 1
direct
0.0000 0.0000 0.0000 Ag
0.0000 0.5000 0.5000 Ge
0.5000 0.0000 0.5000 Ge
0.0000 0.0000 0.5000 Bi
0.5000 0.5000 0.0000 Te
```

Calculated values
* E_form (uncorrected): 0.74 eV per atom
* DFT total energy: -3.081 eV per atom
* ρ: 5.9 g/cm³
* space-group type: No. 123
* total moment: 0.000 μB per cell

=====

No. 7
The following is a GGA-PBE calculation of a relaxed TbGa5 crystal, from Alexandria via LeMat-Bulk.

Cell and atoms, written as POSCAR:
```
TbGa5
1.0
2.1328 -6.1416 0.0000
2.1328 6.1416 0.0000
0.0000 0.0000 4.4234
Tb Ga
1 5
direct
0.0000 0.0000 0.0000 Tb
0.1733 0.8267 0.5000 Ga
0.3201 0.6799 0.0000 Ga
0.5000 0.5000 0.5000 Ga
0.6799 0.3201 0.0000 Ga
0.8267 0.1733 0.5000 Ga
```

Calculated values
* DFT total energy: -3.594 eV per atom
* ρ: 7.3 g/cm³
* E above lowest polymorph: 37 meV/atom
* space-group type: No. 65
* total moment: 0.000 μB per cell
* calculated formation energy: -1.80 eV/f.u.

=====

No. 8
The following is a GGA-PBE calculation of a relaxed KScW2 crystal, from Alexandria via LeMat-Bulk.

Cell and atoms, written as POSCAR:
```
KScW2
1.0
2.7735 0.0000 0.0000
0.0000 4.7595 0.0000
0.0000 0.0000 7.5104
K Sc W
1 1 2
direct
0.0000 0.0000 0.0000 K
0.0000 0.0000 0.5000 Sc
0.5000 0.5000 0.3384 W
0.5000 0.5000 0.6616 W
```

Calculated values
* DFT total energy: -7.361 eV per atom
* ρ: 7.6 g/cm³
* E above lowest polymorph: 349 meV/atom
* space-group type: No. 47
* total moment: 0.000 μB per cell
* calculated formation energy: 3.89 eV/f.u.

=====

No. 9
The following is a GGA-PBE calculation of a relaxed TmGaBi2 crystal, from Alexandria via LeMat-Bulk.

Cell and atoms, written as POSCAR:
```
TmGaBi2
1.0
4.1548 0.0000 0.0000
0.0000 4.1548 0.0000
0.0000 0.0000 6.3443
Tm Ga Bi
1 1 2
direct
0.0000 0.0000 0.0000 Tm
0.0000 0.0000 0.5000 Ga
0.5000 0.5000 0.2484 Bi
0.5000 0.5000 0.7516 Bi
```

Calculated values
* DFT total energy: -4.131 eV per atom
* ρ: 10.0 g/cm³
* E above lowest polymorph: 0 meV/atom
* space-group type: No. 123
* total moment: 0.000 μB per cell
* calculated formation energy: -1.26 eV/f.u.

=====

No. 10
The following is a GGA-PBE calculation of a relaxed MgZrTaAl2 crystal, from Alexandria via LeMat-Bulk.

Cell and atoms, written as POSCAR:
```
MgZrTaAl2
1.0
5.1898 0.0000 0.0000
0.0000 5.1898 0.0000
0.0000 0.0000 4.9735
Mg Zr Ta Al
1 1 1 2
direct
0.0000 0.0000 0.0000 Mg
0.5000 0.5000 0.5000 Zr
0.5000 0.5000 0.0000 Ta
0.0000 0.5000 0.5000 Al
0.5000 0.0000 0.5000 Al
```

Calculated values
* DFT total energy: -4.748 eV per atom
* ρ: 4.3 g/cm³
* space-group type: No. 123
* total moment: 0.000 μB per cell
* calculated formation energy: 5.74 eV/f.u.

=====

No. 11
The following is a GGA-PBE calculation of a relaxed Ta2TlTe crystal, from Alexandria via LeMat-Bulk.

Cell and atoms, written as POSCAR:
```
Ta2TlTe
1.0
-1.7108 2.4839 5.0335
1.7108 -2.4839 5.0335
1.7108 2.4839 -5.0335
Ta Tl Te
2 1 1
direct
0.0000 0.0000 0.0000 Ta
0.7782 0.2782 0.5000 Ta
0.5103 0.5103 0.0000 Tl
0.2284 0.7284 0.5000 Te
```

Calculated values
* E_form (uncorrected): 0.49 eV per atom
* DFT total energy: -6.809 eV per atom
* ρ: 13.5 g/cm³
* E above lowest polymorph: 325 meV/atom
* space-group type: No. 44
* total moment: 0.000 μB per cell

=====

No. 12
The following is a GGA-PBE calculation of a relaxed PmY2Bi crystal, from Alexandria via LeMat-Bulk.

Cell and atoms, written as POSCAR:
```
PmY2Bi
1.0
4.0537 0.0000 0.0000
0.0000 4.0537 0.0000
0.0000 0.0000 7.5041
Pm Y Bi
1 2 1
direct
0.0000 0.0000 0.0000 Pm
0.5000 0.5000 0.2753 Y
0.5000 0.5000 0.7247 Y
0.0000 0.0000 0.5000 Bi
```

Calculated values
* DFT total energy: -5.755 eV per atom
* ρ: 7.2 g/cm³
* E above lowest polymorph: 100 meV/atom
* space-group type: No. 123
* total moment: 0.000 μB per cell
* calculated formation energy: -1.46 eV/f.u.